--- i ---
PmTcSb | PBE | optimized geometry

Properties
Its total moment is 6.6 Bohr magnetons per cell.

a = 6.965 Å, b = 6.965 Å, c = 6.965 Å
α = 90.00°, β = 90.00°, γ = 90.00°
Space group F-43m (No. 216)
One atom of each set of equivalent atoms:
Pm  0.000  0.000  0.000 [4 per cell]
Tc  0.250  0.250  0.250 [4 per cell]
Sb  0.250  0.250  0.750 [4 per cell]

--- ii ---
PmTcSb | PBE | optimized geometry

Properties
Its total moment is 6.5 Bohr magnetons per cell.

a = 6.793 Å, b = 6.793 Å, c = 6.793 Å
α = 90.00°, β = 90.00°, γ = 90.00°
Space group F-43m (No. 216)
One atom of each set of equivalent atoms:
Pm  0.000  0.000  0.000 [4 per cell]
Tc  0.000  0.000  0.500 [4 per cell]
Sb  0.250  0.250  0.250 [4 per cell]

Relative energy table, unit eV/atom: i 0.642; ii 0.000